# 1
# PBE Ba3SrTc2O9, relaxed
data_Ba3SrTc2O9
_cell_length_a 5.930
_cell_length_b 5.930
_cell_length_c 7.441
_cell_angle_alpha 90.00
_cell_angle_beta 90.00
_cell_angle_gamma 120.00
_symmetry_space_group_name_H-M 'P 1'
_symmetry_Int_Tables_number 1
_symmetry_space_group_name_Hall 'P 1'
loop_
_atom_site_label
_atom_site_type_symbol
_atom_site_fract_x
_atom_site_fract_y
_atom_site_fract_z
Ba1 Ba 0.333 0.667 0.674
Ba2 Ba 0.000 0.000 0.000
Ba3 Ba 0.667 0.333 0.326
Sr1 Sr 0.000 0.000 0.500
Tc1 Tc 0.333 0.667 0.150
Tc2 Tc 0.667 0.333 0.850
O1 O 0.819 0.181 0.699
O2 O 0.819 0.637 0.699
O3 O 0.363 0.181 0.699
O4 O 0.637 0.819 0.301
O5 O 0.181 0.363 0.301
O6 O 0.181 0.819 0.301
O7 O 0.500 0.000 0.000
O8 O 0.000 0.500 0.000
O9 O 0.500 0.500 0.000
# E   -7.078 eV/atom
# Total magnetization   0.00 μB per atom


# 2
# PBE MnAsCl3, relaxed
data_MnAsCl3
_cell_length_a 5.135
_cell_length_b 5.135
_cell_length_c 5.135
_cell_angle_alpha 90.00
_cell_angle_beta 90.00
_cell_angle_gamma 90.00
_symmetry_space_group_name_H-M 'P 1'
_symmetry_Int_Tables_number 1
_symmetry_space_group_name_Hall 'P 1'
loop_
_atom_site_label
_atom_site_type_symbol
_atom_site_fract_x
_atom_site_fract_y
_atom_site_fract_z
As1 As 0.000 0.000 0.000
Mn1 Mn 0.500 0.500 0.500
Cl1 Cl 0.000 0.500 0.000
Cl2 Cl 0.000 0.000 0.500
Cl3 Cl 0.500 0.000 0.000
# Total magnetization   1.14 μB per atom
# E above lowest polymorph   0.000 eV per formula unit


# 3
# PBE Pr2EuTm, relaxed
data_Pr2EuTm
_cell_length_a 5.860
_cell_length_b 5.860
_cell_length_c 5.860
_cell_angle_alpha 60.00
_cell_angle_beta 60.00
_cell_angle_gamma 60.00
_symmetry_space_group_name_H-M 'P 1'
_symmetry_Int_Tables_number 1
_symmetry_space_group_name_Hall 'P 1'
loop_
_atom_site_label
_atom_site_type_symbol
_atom_site_fract_x
_atom_site_fract_y
_atom_site_fract_z
Eu1 Eu 0.000 0.000 0.000
Pr1 Pr 0.250 0.250 0.250
Pr2 Pr 0.750 0.750 0.750
Tm1 Tm 0.500 0.500 0.500
# ΔH_f (0 K)   121 meV/atom
# Total magnetization   1.89 μB per atom
# E above lowest polymorph   0.369 eV per formula unit